Below is a geometry-optimized KBi3S5 structure, with properties calculated at the PBE level.

abc: 16.616 4.114 18.014
angles: 90.00 90.00 90.00
Sites, in units of the cell vectors:
K: 0.024 0.250 0.221
K: 0.476 0.750 0.721
K: 0.524 0.250 0.279
K: 0.976 0.750 0.779
Bi: 0.092 0.750 0.441
Bi: 0.154 0.250 0.632
Bi: 0.241 0.750 0.803
Bi: 0.259 0.250 0.303
Bi: 0.346 0.750 0.132
Bi: 0.408 0.250 0.941
Bi: 0.592 0.750 0.059
Bi: 0.654 0.250 0.868
Bi: 0.741 0.750 0.697
Bi: 0.759 0.250 0.197
Bi: 0.846 0.750 0.368
Bi: 0.908 0.250 0.559
S: 0.033 0.750 0.599
S: 0.124 0.250 0.783
S: 0.143 0.750 0.298
S: 0.196 0.250 0.474
S: 0.235 0.250 0.157
S: 0.265 0.750 0.657
S: 0.304 0.750 0.974
S: 0.357 0.250 0.798
S: 0.376 0.750 0.283
S: 0.467 0.250 0.099
S: 0.533 0.750 0.901
S: 0.624 0.250 0.717
S: 0.643 0.750 0.202
S: 0.696 0.250 0.026
S: 0.735 0.250 0.343
S: 0.765 0.750 0.843
S: 0.804 0.750 0.526
S: 0.857 0.250 0.702
S: 0.876 0.750 0.217
S: 0.967 0.250 0.401

Calculated values
- formation energy from raw total energies (eV per atom) = -0.556
- total magnetic moment (μB/cell) = 0.000
- calculated total energy (eV/atom) = -4.27

Below is a geometry-optimized K3BiS3 structure, with properties calculated at the PBE level.

abc: 10.386 10.386 6.383
angles: 90.00 90.00 119.92
Sites, in units of the cell vectors:
K: 0.163 0.837 0.750
K: 0.164 0.328 0.750
K: 0.328 0.164 0.250
K: 0.672 0.836 0.750
K: 0.836 0.672 0.250
K: 0.837 0.163 0.250
Bi: 0.333 0.667 0.250
Bi: 0.667 0.333 0.750
S: 0.187 0.813 0.250
S: 0.188 0.375 0.250
S: 0.375 0.188 0.750
S: 0.625 0.812 0.250
S: 0.812 0.625 0.750
S: 0.813 0.187 0.750

Calculated values
- formation energy from raw total energies (eV per atom) = -0.726
- total magnetic moment (μB/cell) = 0.000
- density of states at the Fermi level (states/eV/f.u.) = 1.31
- calculated total energy (eV/atom) = -3.52